Entry 1:
First-principles (PBE-GGA) data for a relaxed Pm6IrSe5 crystal, as listed in Alexandria via LeMat-Bulk.

Its formation energy (no corrections) is -1.667 eV/atom. As for the density of states at the Fermi level: 17.051 states/eV/cell. As for the volume: 26.53 Å³/atom. The total magnetization is 0.00 Bohr magnetons per cell.

The structure in CIF format:
```
data_Pm6IrSe5
_cell_length_a 7.329
_cell_length_b 12.655
_cell_length_c 7.285
_cell_angle_alpha 90.00
_cell_angle_beta 109.54
_cell_angle_gamma 90.00
_space_group_name_H-M_alt 'C 1 2/m 1'
_space_group_IT_number 12
_space_group_name_Hall '-C 2y'
loop_
_atom_site_label
_atom_site_type_symbol
_atom_site_fract_x
_atom_site_fract_y
_atom_site_fract_z
Pm1 Pm 0.237 0.000 0.259
Pm2 Pm 0.237 0.159 0.738
Ir1 Ir 0.000 0.000 0.500
Se1 Se 0.000 0.174 0.000
Se2 Se 0.000 0.334 0.500
Se3 Se 0.000 0.500 0.000
```

---

Entry 2:
First-principles (PBE-GGA) data for a relaxed KRb2H6Ir crystal, as listed in Alexandria via LeMat-Bulk.

The value obtained for the electronic total energy is -142.621 eV per cell. As for the density of states at the Fermi level: 0.000 states/eV/cell. As for the volume: 15.67 Å³/atom. The total magnetization is 0.71 Bohr magnetons per cell.

The structure in CIF format:
```
data_KRb2H6Ir
_cell_length_a 8.559
_cell_length_b 8.559
_cell_length_c 8.559
_cell_angle_alpha 90.00
_cell_angle_beta 90.00
_cell_angle_gamma 90.00
_space_group_name_H-M_alt 'F m -3 m'
_space_group_IT_number 225
_space_group_name_Hall '-F 4 2 3'
loop_
_atom_site_label
_atom_site_type_symbol
_atom_site_fract_x
_atom_site_fract_y
_atom_site_fract_z
K1 K 0.000 0.000 0.000
Rb1 Rb 0.250 0.250 0.250
H1 H 0.000 0.000 0.302
Ir1 Ir 0.000 0.000 0.500
```

---

Entry 3:
First-principles (PBE-GGA) data for a relaxed KGaBr4 crystal, as listed in Alexandria via LeMat-Bulk.

Its formation energy (no corrections) is -1.193 eV/atom. As for the density of states at the Fermi level: 0.000 states/eV/cell. For the energy above the most stable polymorph in this dataset, the calculation gives 0 meV per atom. As for the volume: 38.21 Å³/atom. The total magnetization is 0.00 Bohr magnetons per cell.

The structure in CIF format:
```
data_KGaBr4
_cell_length_a 23.0368
_cell_length_b 23.0368
_cell_length_c 8.9789
_cell_angle_alpha 90.00
_cell_angle_beta 90.00
_cell_angle_gamma 120.00
_space_group_name_H-M_alt 'R 3 c'
_space_group_IT_number 161
_space_group_name_Hall 'R 3 -2"c'
loop_
_atom_site_label
_atom_site_type_symbol
_atom_site_fract_x
_atom_site_fract_y
_atom_site_fract_z
K1 K 0.0115 0.2082 0.0000
Ga1 Ga 0.0081 0.2025 0.5098
Br1 Br 0.0336 0.1262 0.3916
Br2 Br 0.0524 0.4870 0.3192
Br3 Br 0.0721 0.3889 0.9940
Br4 Br 0.1911 0.4409 0.3396
```

---

- What is the density of states at the Fermi level in the second record?
  0.000 states/eV/cell